DFT (PBE+U) results for crystalline K2CoSe2O6 at its relaxed geometry.

Output
The calculation puts the total energy at -5.109 eV per atom. The crystal system is monoclinic. The value obtained for the total magnetic moment is 2.00 μB per cell.

a b c (Å): 12.9107 5.2878 7.5390
angles (deg): 90.00 122.28 90.00
Closest atoms and distances in Å follow each position.
Space group C2/m (No. 12)
Asymmetric unit:
K  0.2186  0.0000  0.2502 x4  3 O 2.62-2.84
Co  0.0000  0.0000  0.5000 x2  4 O 1.93
Se  0.0291  0.5000  0.8012 x4  3 O 1.70-1.75
O  0.0812  0.2414  0.7256 x8  1 Se 1.75, 1 Co 1.93
O  0.1262  0.5000  0.3419 x4  1 Se 1.70